# PBE Re3BW, relaxed
# - size of the total moment (μB/cell) = 0.0
# - uncorrected energy (eV per cell) = -113.1
# - formation enthalpy at 0 K (eV per atom) = 0.08
# - energy above the most stable polymorph in this dataset (meV/atom) = 0
# - DOS(E_F) (states/eV/cell) = 8.4
data_Re3BW
_chemical_formula_sum 'Re6 B2 W2'
_cell_length_a 4.214
_cell_length_b 5.752
_cell_length_c 5.681
_cell_angle_alpha 90.00
_cell_angle_beta 90.00
_cell_angle_gamma 90.00
_space_group_name_H-M_alt 'P 1'
_space_group_IT_number 1
loop_
_space_group_symop_operation_xyz
'x,y,z'
loop_
_atom_site_label
_atom_site_type_symbol
_atom_site_fract_x
_atom_site_fract_y
_atom_site_fract_z
B1 B 0.000 0.501 0.750
B2 B 0.000 0.499 0.250
Re1 Re 0.000 0.223 0.502
Re2 Re 0.500 0.988 0.250
Re3 Re 0.000 0.223 0.998
Re4 Re 0.000 0.777 0.498
Re5 Re 0.000 0.777 0.002
Re6 Re 0.500 0.012 0.750
W1 W 0.500 0.499 0.250
W2 W 0.500 0.501 0.750